Entry 1:
VASP calculation (PBE) on a geometry-optimized FeOsBr2 structure.

a = 4.4759 Å, b = 4.4759 Å, c = 4.4759 Å
α = 60.00°, β = 60.00°, γ = 60.00°
Fractional positions:
Br  0.7500  0.7500  0.7500
Br  0.2500  0.2500  0.2500
Os  0.5000  0.5000  0.5000
Fe  0.0000  0.0000  0.0000

Summary:
Excess energy over the best structure of this formula in the dataset   105.8 kJ per mole of atoms

Entry 2:
VASP calculation (PBE) on a geometry-optimized FeOsBr2 structure.

a = 6.1771 Å, b = 6.1771 Å, c = 6.1771 Å
α = 145.11°, β = 145.11°, γ = 50.17°
Last column: magnetic moment on the atom in μB.
Fractional positions:
Br  0.0000  0.0000  0.0000  0.14
Fe  0.5000  0.5000  0.0000  3.16
Os  0.7500  0.2500  0.5000  1.49
Br  0.2500  0.7500  0.5000  0.07

Summary:
Excess energy over the best structure of this formula in the dataset   89.0 kJ per mole of atoms

Entry 3:
VASP calculation (PBE) on a geometry-optimized Fe2OsBr structure.

a = 8.3419 Å, b = 8.3419 Å, c = 8.3419 Å
α = 19.87°, β = 19.87°, γ = 19.87°
Last column: magnetic moment on the atom in μB.
Fractional positions:
Br  0.7500  0.7500  0.7500  0.06
Fe  0.9978  0.9978  0.9978  2.51
Os  0.2500  0.2500  0.2500  -0.09
Fe  0.5022  0.5022  0.5022  2.51

Summary:
Excess energy over the best structure of this formula in the dataset   7.8 kJ per mole of atoms

Entry 4:
VASP calculation (PBE) on a geometry-optimized FeOsBr2 structure.

a = 3.5314 Å, b = 3.5314 Å, c = 8.4405 Å
α = 82.94°, β = 82.94°, γ = 59.72°
Last column: magnetic moment on the atom in μB.
Fractional positions:
Br  0.7867  0.7867  0.6563  -0.02
Os  0.1647  0.1647  0.4357  0.08
Fe  0.5267  0.5267  0.3082  0.50
Br  0.0219  0.0219  0.0998  -0.01

Summary:
Excess energy over the best structure of this formula in the dataset   0.0 kJ per mole of atoms

Entry 5:
VASP calculation (PBE) on a geometry-optimized Fe2OsBr structure.

a = 2.8724 Å, b = 2.8724 Å, c = 8.4240 Å
α = 90.00°, β = 90.00°, γ = 116.52°
Last column: magnetic moment on the atom in μB.
Fractional positions:
Os  0.5000  0.5000  0.2500  0.54
Fe  0.0000  0.0000  0.0123  2.84
Fe  0.0000  0.0000  0.4877  2.84
Br  0.5000  0.5000  0.7500  0.13

Summary:
Excess energy over the best structure of this formula in the dataset   19.4 kJ per mole of atoms

Entry 6:
VASP calculation (PBE) on a geometry-optimized FeOsBr2 structure.

a = 8.9857 Å, b = 8.9857 Å, c = 8.9857 Å
α = 159.20°, β = 159.67°, γ = 29.24°
Last column: magnetic moment on the atom in μB.
Fractional positions:
Os  0.3241  0.8241  0.5000  -0.30
Br  0.7360  0.2360  0.5000  -0.18
Br  0.0146  0.0146  0.0000  0.12
Fe  0.4253  0.4253  0.0000  2.87

Summary:
Excess energy over the best structure of this formula in the dataset   29.4 kJ per mole of atoms

Entry 7:
VASP calculation (PBE) on a geometry-optimized FeOsBr2 structure.

a = 4.6062 Å, b = 4.6062 Å, c = 3.1766 Å
α = 90.00°, β = 90.00°, γ = 90.02°
Last column: magnetic moment on the atom in μB.
Fractional positions:
Os  0.0000  0.5000  0.5000  0.27
Br  0.0000  0.0000  0.0000  0.08
Br  0.5000  0.5000  0.0000  0.08
Fe  0.5000  0.0000  0.5000  3.00

Summary:
Excess energy over the best structure of this formula in the dataset   80.8 kJ per mole of atoms

Entry 8:
VASP calculation (PBE) on a geometry-optimized FeOsBr structure.

a = 7.6031 Å, b = 7.3506 Å, c = 2.8692 Å
α = 83.93°, β = 74.02°, γ = 22.04°
Last column: magnetic moment on the atom in μB.
Fractional positions:
Br  0.9744  0.9744  0.0256  0.12
Fe  0.3286  0.3286  0.6714  2.79
Os  0.6969  0.6969  0.3031  0.36

Summary:
Excess energy over the best structure of this formula in the dataset   12.0 kJ per mole of atoms

no.,total magnetic moment (μB per formula unit),theoretical density (g cm⁻³),ΔE_f (raw) (eV per atom)
1,0.00,10.63,1.50
2,5.08,8.78,1.32
3,4.97,10.81,0.61
4,0.57,7.49,0.40
5,6.44,10.19,0.73
6,2.55,7.54,0.71
7,3.45,10.00,1.24
8,3.39,10.28,0.93